La3BiIr (PBE-GGA, optimized geometry); DOS at the Fermi energy = 10.61 states/eV per cell; E above lowest polymorph = 2.26 eV per formula unit; symmetry = Cmcm, No. 63
1.0
3.355 -7.487 0.000
3.355 7.487 0.000
0.000 0.000 6.164
Bi Ir La
2 2 6
direct
0.601 0.399 0.250
0.399 0.601 0.750
0.831 0.169 0.750
0.169 0.831 0.250
0.937 0.560 0.750
0.000 0.000 0.000
0.000 0.000 0.500
0.560 0.937 0.250
0.063 0.440 0.250
0.440 0.063 0.750

Dy2Sn5Pd3 (PBE-GGA, optimized geometry); DOS at the Fermi energy = 8.07 states/eV per cell; uncorrected energy = -103.07 eV/cell; symmetry = Cmc2_1, No. 36
1.0
-1.022 -2.439 3.637
7.017 -2.394 0.367
3.639 11.587 6.013
Sn Pd Dy
10 6 4
direct
0.597 0.883 0.194
0.952 0.092 0.904
0.704 0.435 0.408
0.048 0.592 0.096
0.881 0.758 0.762
0.403 0.383 0.806
0.296 0.935 0.592
0.711 0.008 0.421
0.289 0.508 0.579
0.119 0.258 0.238
0.605 0.512 0.210
0.777 0.713 0.554
0.223 0.213 0.446
0.049 0.977 0.098
0.395 0.012 0.790
0.951 0.477 0.902
0.827 0.234 0.654
0.524 0.254 0.048
0.476 0.754 0.952
0.173 0.734 0.346

Tb4TmPd2 (PBE-GGA, optimized geometry); DOS at the Fermi energy = 6.98 states/eV per cell; uncorrected energy = -35.37 eV/cell; symmetry = R-3m, No. 166
1.0
-4.072 2.786 1.634
-1.201 0.128 5.055
3.291 7.746 3.258
Tb Pd Tm
4 2 1
direct
0.883 0.883 0.350
0.289 0.289 0.134
0.711 0.711 0.866
0.117 0.117 0.650
0.603 0.603 0.190
0.397 0.397 0.810
0.500 0.500 0.500

CaYTe2 (PBE-GGA, optimized geometry); DOS at the Fermi energy = 2.36 states/eV per cell; E above lowest polymorph = 0.66 eV per formula unit; uncorrected formation energy = -504 kJ/mol of formula units; symmetry = Amm2, No. 38
1.0
7.066 0.030 0.000
5.755 4.100 0.000
0.000 0.000 4.442
Te Y Ca
2 1 1
direct
0.252 0.252 0.375
0.002 0.002 0.875
0.479 0.479 0.375
0.768 0.768 0.875

Ca4NdTl15 (PBE-GGA, optimized geometry); DOS at the Fermi energy = 11.13 states/eV per cell; uncorrected energy = -53.34 eV/cell; symmetry = P4/mmm, No. 123
1.0
-0.509 3.052 -3.737
3.472 -2.378 -2.415
-16.825 -14.700 -9.716
Tl Ca Nd
15 4 1
direct
0.500 0.500 0.200
0.000 0.500 0.299
0.500 0.000 0.900
0.500 0.500 0.601
0.000 0.500 0.500
0.500 0.500 0.399
0.500 0.500 0.800
0.500 0.000 0.299
0.000 0.500 0.900
0.500 0.000 0.100
0.000 0.500 0.100
0.500 0.000 0.500
0.500 0.500 0.000
0.000 0.500 0.701
0.500 0.000 0.701
0.000 0.000 0.399
0.000 0.000 0.198
0.000 0.000 0.802
0.000 0.000 0.601
0.000 0.000 0.000

Ti2InTe (PBE-GGA, optimized geometry); DOS at the Fermi energy = 5.70 states/eV per cell; E above lowest polymorph = 0.40 eV per formula unit; uncorrected formation energy = -9 kJ/mol of formula units; symmetry = Fm-3m, No. 225
1.0
0.000 3.421 3.421
3.421 0.000 3.421
3.421 3.421 0.000
In Te Ti
1 1 2
direct
0.000 0.000 0.000
0.500 0.500 0.500
0.250 0.250 0.250
0.750 0.750 0.750

Pb3ClO3 (PBE-GGA, optimized geometry); DOS at the Fermi energy = 14.50 states/eV per cell; E above lowest polymorph = 0.06 eV per formula unit; uncorrected formation energy = -676 kJ/mol of formula units; symmetry = R-3, No. 148
1.0
-4.326 -5.500 0.548
2.621 -6.453 0.866
-0.785 -3.071 7.938
Pb O Cl
6 6 2
direct
0.437 0.101 0.697
0.101 0.765 0.697
0.563 0.899 0.303
0.899 0.235 0.303
0.765 0.437 0.697
0.235 0.563 0.303
0.475 0.785 0.616
0.785 0.124 0.616
0.876 0.525 0.384
0.215 0.876 0.384
0.124 0.475 0.616
0.525 0.215 0.384
0.333 0.333 0.000
0.667 0.667 0.000

NaHo2PaSe4 (PBE-GGA, optimized geometry); DOS at the Fermi energy = 5.48 states/eV per cell; uncorrected formation energy = -1184 kJ/mol of formula units; symmetry = P2/m, No. 10
1.0
-0.456 -3.133 -2.484
2.740 -4.281 4.896
-5.334 -2.486 4.115
Na Ho Se Pa
1 2 4 1
direct
0.500 0.500 0.000
0.500 0.000 0.500
0.000 0.000 0.000
0.500 0.247 0.754
0.000 0.245 0.253
0.000 0.755 0.747
0.500 0.753 0.246
0.000 0.500 0.500